Here is a relaxed Sr3GaFe2O8 crystal from Alexandria via LeMat-Bulk. Energies are from GGA+U.

Results
The calculation puts the density of states at the Fermi level at 0.53 states/eV/atom. As for the energy: -6.226 eV per atom.

Cell and atoms, written as CIF:
```
data_Sr3GaFe2O8
_chemical_formula_sum 'Sr3 Ga1 Fe2 O8'
_cell_length_a 5.6190
_cell_length_b 5.6190
_cell_length_c 7.2068
_cell_angle_alpha 90.00
_cell_angle_beta 90.00
_cell_angle_gamma 120.00
_symmetry_space_group_name_H-M 'P -3 m 1'
_symmetry_Int_Tables_number 164
_symmetry_space_group_name_Hall '-P 3 2"'
loop_
_atom_site_label
_atom_site_type_symbol
_atom_site_fract_x
_atom_site_fract_y
_atom_site_fract_z
Sr1 Sr 0.0000 0.0000 0.0000
Sr2 Sr 0.3333 0.6667 0.6398
Ga1 Ga 0.0000 0.0000 0.5000
Fe1 Fe 0.3333 0.6667 0.2101
O1 O 0.1615 0.3230 0.3290
O2 O 0.3333 0.6667 0.9617
```